Record 1
VASP calculation (PBE-GGA) on crystalline Pm5Al2Te2 at its relaxed geometry.

Computed properties:
formation energy from raw total energies	-0.832	eV per atom
crystal system	orthorhombic
final energy	-5.0009	eV per atom

Cell: 15.8871 8.1616 8.1671 Å, 90.00 90.00 90.00°
Space group Cmce (No. 64)
Unique sites:
Pm: 0.0000 0.0000 0.0000
Pm: 0.1332 0.1716 0.3311
Al: 0.0000 0.1196 0.6170
Te: 0.2029 0.0000 0.0000

=====

Record 2
VASP calculation (PBE-GGA) on crystalline Ho2MnPt9 at its relaxed geometry.

Computed properties:
crystal system	tetragonal
ΔH_f (0 K)	-0.8020	eV/atom
final energy	-6.8597	eV per atom

Cell: 4.0615 4.0615 12.1104 Å, 90.00 90.00 90.00°
Space group P4/mmm (No. 123)
Unique sites:
Ho: 0.0000 0.0000 0.1711
Mn: 0.0000 0.0000 0.5000
Pt: 0.0000 0.5000 0.0000
Pt: 0.0000 0.5000 0.3446
Pt: 0.5000 0.5000 0.1722
Pt: 0.5000 0.5000 0.5000

=====

Record 3
VASP calculation (PBE-GGA) on crystalline Ca3TmS4 at its relaxed geometry.

Computed properties:
formation energy from raw total energies	-2.087	eV per atom
crystal system	orthorhombic
final energy	-5.4607	eV per atom

Cell: 7.9716 11.2435 3.9658 Å, 90.00 90.00 90.00°
Space group Cmmm (No. 65)
Unique sites:
Ca: 0.0000 0.0000 0.0000
Ca: 0.2500 0.2500 0.5000
Tm: 0.0000 0.5000 0.0000
S: 0.0000 0.2553 0.0000
S: 0.2410 0.5000 0.5000

=====

Record 4
VASP calculation (PBE-GGA) on crystalline PuSbH at its relaxed geometry.

Computed properties:
energy above the lowest structure with this stoichiometry	394	meV/atom
crystal system	orthorhombic
final energy	-7.3196	eV per atom

Cell: 3.4613 5.0792 11.3677 Å, 90.00 90.00 90.00°
Space group Ama2 (No. 40)
Unique sites:
Pu: 0.2500 0.1587 0.0000
Sb: 0.2500 0.2522 0.7255
H: 0.2500 0.0899 0.4742

=====

Record 5
VASP calculation (PBE-GGA) on crystalline CuPbCl3 at its relaxed geometry.

Computed properties:
formation energy from raw total energies	-0.826	eV per atom
crystal system	monoclinic
final energy	-3.4945	eV per atom

Cell: 8.0610 7.2416 10.6489 Å, 90.00 94.98 90.00°
Space group P2_1/c (No. 14)
Unique sites:
Cu: 0.0964 0.2339 0.0876
Pb: 0.3830 0.7382 0.3977
Cl: 0.0781 0.5543 0.3376
Cl: 0.2824 0.0882 0.5235
Cl: 0.4167 0.5784 0.6493

=====

Record 6
VASP calculation (PBE-GGA) on crystalline ZrNbPd at its relaxed geometry.

Computed properties:
energy above the lowest structure with this stoichiometry	123	meV/atom
crystal system	orthorhombic
ΔH_f (0 K)	-0.2915	eV/atom
final energy	-8.2285	eV per atom

Cell: 4.4765 12.8200 3.9022 Å, 90.00 90.00 90.00°
Space group Cmcm (No. 63)
Unique sites:
Zr: 0.0000 0.0967 0.2500
Nb: 0.0000 0.4203 0.2500
Pd: 0.0000 0.2576 0.7500

=====

Record 7
VASP calculation (PBE-GGA) on crystalline AsRhPb2 at its relaxed geometry.

Computed properties:
crystal system	tetragonal
ΔH_f (0 K)	0.2316	eV/atom
final energy	-4.6228	eV per atom

Cell: 4.7922 4.7922 3.9237 Å, 90.00 90.00 90.00°
Space group P4/mmm (No. 123)
Unique sites:
As: 0.0000 0.0000 0.0000
Rh: 0.5000 0.5000 0.0000
Pb: 0.0000 0.5000 0.5000

=====

Record 8
VASP calculation (PBE-GGA) on crystalline Tb6NdSm12 at its relaxed geometry.

Computed properties:
energy above the lowest structure with this stoichiometry	59	meV/atom
crystal system	trigonal
ΔH_f (0 K)	0.2000	eV/atom
final energy	-4.4936	eV per atom

Cell: 13.3825 13.3825 12.6894 Å, 90.00 90.00 120.00°
Space group R-3m (No. 166, hexagonal axes)
Unique sites:
Tb: 0.0412 0.5206 0.1185
Nd: 0.0000 0.0000 0.5000
Sm: 0.0000 0.2592 0.0000
Sm: 0.0907 0.1814 0.7649